Compound: TaSb2TeS
Source: Alexandria via LeMat-Bulk
Functional: GGA-PBE
Structure: relaxed

Results
The relative energy among the computed polymorphs comes out at 0 meV/atom. The value obtained for the formation energy (no corrections) is 52.5 kJ/mol of atoms. The space group is P4/mmm (123). The value obtained for the uncorrected energy is -4.929 eV per atom. The calculation puts the spin magnetization at 0.00 μB/cell.

a = 5.347 Å, b = 5.347 Å, c = 5.218 Å
α = 90.00°, β = 90.00°, γ = 90.00°
Fractional coordinates of all 5 atoms:
Ta: 0.000 0.000 0.000
Sb: 0.000 0.500 0.000
Sb: 0.500 0.000 0.000
Te: 0.000 0.000 0.500
S: 0.500 0.500 0.500

---

Compound: NbGePO2
Source: Alexandria via LeMat-Bulk
Functional: GGA-PBE
Structure: relaxed

Results
The relative energy among the computed polymorphs comes out at 769 meV/atom. The value obtained for the formation energy (no corrections) is -36.0 kJ/mol of atoms. The space group is P4/mmm (123). The value obtained for the uncorrected energy is -6.375 eV per atom. The calculation puts the spin magnetization at 1.62 μB/cell.

a = 3.660 Å, b = 3.660 Å, c = 5.279 Å
α = 90.00°, β = 90.00°, γ = 90.00°
Fractional coordinates of all 5 atoms:
Nb: 0.000 0.000 0.000
Ge: 0.500 0.500 0.500
P: 0.500 0.500 0.000
O: 0.000 0.500 0.500
O: 0.500 0.000 0.500

---

Compound: KZr4Re
Source: Alexandria via LeMat-Bulk
Functional: GGA-PBE
Structure: relaxed

Results
The space group is F-43m (216). The value obtained for the uncorrected energy is -6.856 eV per atom. The calculation puts the spin magnetization at 0.48 μB/cell.

a = 5.835 Å, b = 5.835 Å, c = 5.835 Å
α = 60.00°, β = 60.00°, γ = 60.00°
Fractional coordinates of all 6 atoms:
K: 0.000 0.000 0.000
Zr: 0.379 0.379 0.379
Zr: 0.379 0.379 0.864
Zr: 0.379 0.864 0.379
Zr: 0.864 0.379 0.379
Re: 0.750 0.750 0.750

---

Compound: AgWI2N
Source: Alexandria via LeMat-Bulk
Functional: GGA-PBE
Structure: relaxed

Results
The relative energy among the computed polymorphs comes out at 1552 meV/atom. The value obtained for the formation energy (no corrections) is 190.8 kJ/mol of atoms. The space group is P4/mmm (123). The value obtained for the uncorrected energy is -3.469 eV per atom. The calculation puts the spin magnetization at 4.18 μB/cell.

a = 5.841 Å, b = 5.841 Å, c = 3.832 Å
α = 90.00°, β = 90.00°, γ = 90.00°
Fractional coordinates of all 5 atoms:
Ag: 0.000 0.000 0.000
W: 0.500 0.500 0.500
I: 0.000 0.500 0.000
I: 0.500 0.000 0.000
N: 0.000 0.000 0.500

---

Compound: YGa6Ag12
Source: Alexandria via LeMat-Bulk
Functional: GGA-PBE
Structure: relaxed

Results
The space group is R-3m (166). The value obtained for the uncorrected energy is -3.074 eV per atom. The calculation puts the spin magnetization at 0.00 μB/cell.

a = 7.523 Å, b = 7.523 Å, c = 7.523 Å
α = 105.45°, β = 105.45°, γ = 105.45°
Fractional coordinates of all 19 atoms:
Y: 0.000 0.000 0.000
Ga: 0.277 0.277 0.703
Ga: 0.277 0.703 0.277
Ga: 0.297 0.723 0.723
Ga: 0.703 0.277 0.277
Ga: 0.723 0.297 0.723
Ga: 0.723 0.723 0.297
Ag: 0.117 0.500 0.883
Ag: 0.117 0.883 0.500
Ag: 0.140 0.384 0.384
Ag: 0.384 0.140 0.384
Ag: 0.384 0.384 0.140
Ag: 0.500 0.117 0.883
Ag: 0.500 0.883 0.117
Ag: 0.616 0.616 0.860
Ag: 0.616 0.860 0.616
Ag: 0.860 0.616 0.616
Ag: 0.883 0.117 0.500
Ag: 0.883 0.500 0.117

---

Compound: SmTm3Sb4
Source: Alexandria via LeMat-Bulk
Functional: GGA-PBE
Structure: relaxed

Results
The value obtained for the formation energy (no corrections) is -105.2 kJ/mol of atoms. The space group is Pm-3m (221). The value obtained for the uncorrected energy is -5.418 eV per atom. The calculation puts the spin magnetization at 0.00 μB/cell.

a = 6.180 Å, b = 6.180 Å, c = 6.180 Å
α = 90.00°, β = 90.00°, γ = 90.00°
Fractional coordinates of all 8 atoms:
Sm: 0.000 0.000 0.000
Tm: 0.000 0.500 0.500
Tm: 0.500 0.000 0.500
Tm: 0.500 0.500 0.000
Sb: 0.000 0.000 0.500
Sb: 0.000 0.500 0.000
Sb: 0.500 0.000 0.000
Sb: 0.500 0.500 0.500

---

Compound: RbRh3Pb
Source: Alexandria via LeMat-Bulk
Functional: GGA-PBE
Structure: relaxed

Results
The relative energy among the computed polymorphs comes out at 0 meV/atom. The space group is Pm-3m (221). The value obtained for the uncorrected energy is -4.302 eV per atom. The calculation puts the spin magnetization at 1.36 μB/cell.

a = 5.145 Å, b = 5.145 Å, c = 5.145 Å
α = 90.00°, β = 90.00°, γ = 90.00°
Fractional coordinates of all 5 atoms:
Rb: 0.000 0.000 0.000
Rh: 0.000 0.500 0.500
Rh: 0.500 0.000 0.500
Rh: 0.500 0.500 0.000
Pb: 0.500 0.500 0.500

---

Compound: TbNi4C
Source: Alexandria via LeMat-Bulk
Functional: GGA-PBE
Structure: relaxed

Results
The space group is Pmma (51). The value obtained for the uncorrected energy is -6.215 eV per atom. The calculation puts the spin magnetization at 0.00 μB/cell.

a = 6.890 Å, b = 3.458 Å, c = 6.157 Å
α = 90.00°, β = 90.00°, γ = 90.00°
Fractional coordinates of all 12 atoms:
Tb: 0.250 0.000 0.088
Tb: 0.750 0.000 0.912
Ni: 0.000 0.000 0.500
Ni: 0.065 0.500 0.789
Ni: 0.250 0.500 0.459
Ni: 0.435 0.500 0.789
Ni: 0.500 0.000 0.500
Ni: 0.565 0.500 0.211
Ni: 0.750 0.500 0.541
Ni: 0.935 0.500 0.211
C: 0.250 0.000 0.643
C: 0.750 0.000 0.357

---

Compound: H2RhPbF
Source: Alexandria via LeMat-Bulk
Functional: GGA-PBE
Structure: relaxed

Results
The space group is P4/mmm (123). The value obtained for the uncorrected energy is -3.470 eV per atom. The calculation puts the spin magnetization at 1.48 μB/cell.

a = 3.927 Å, b = 3.927 Å, c = 4.927 Å
α = 90.00°, β = 90.00°, γ = 90.00°
Fractional coordinates of all 5 atoms:
H: 0.000 0.500 0.000
H: 0.500 0.000 0.000
Rh: 0.000 0.000 0.500
Pb: 0.500 0.500 0.000
F: 0.500 0.500 0.500

---

Compound: Zr2B2Mo
Source: Alexandria via LeMat-Bulk
Functional: GGA-PBE
Structure: relaxed

Results
The space group is P4/mbm (127). The value obtained for the uncorrected energy is -8.818 eV per atom. The calculation puts the spin magnetization at 0.00 μB/cell.

a = 6.356 Å, b = 6.356 Å, c = 3.434 Å
α = 90.00°, β = 90.00°, γ = 90.00°
Fractional coordinates of all 10 atoms:
Zr: 0.185 0.315 0.000
Zr: 0.315 0.815 0.000
Zr: 0.685 0.185 0.000
Zr: 0.815 0.685 0.000
B: 0.101 0.601 0.500
B: 0.399 0.101 0.500
B: 0.601 0.899 0.500
B: 0.899 0.399 0.500
Mo: 0.000 0.000 0.500
Mo: 0.500 0.500 0.500